# 1
# BaLu (GGA-PBE, optimized geometry)
data_BaLu
_chemical_formula_sum 'Ba2 Lu2'
_symmetry_space_group_name_H-M 'P 1'
_symmetry_Int_Tables_number 1
_cell_length_a 6.136
_cell_length_b 6.136
_cell_length_c 6.288
_cell_angle_alpha 90.00
_cell_angle_beta 90.00
_cell_angle_gamma 120.00
loop_
_symmetry_equiv_pos_as_xyz
'x,y,z'
loop_
_atom_site_label
_atom_site_fract_x
_atom_site_fract_y
_atom_site_fract_z
Ba1 0.333 0.667 0.250
Ba2 0.667 0.333 0.750
Lu1 0.000 0.000 0.000
Lu2 0.000 0.000 0.500
# Space-group type: P6_3/mmc, No. 194
# Total moment: 0.125 μB/cell
# Energy above the lowest structure with this stoichiometry: 278 meV/atom
# Raw total energy: -10.300 eV per cell

---

# 2
# Cu7P12S9Br7 (GGA-PBE, optimized geometry)
data_Cu7P12S9Br7
_chemical_formula_sum 'Cu14 P24 S18 Br14'
_symmetry_space_group_name_H-M 'P 1'
_symmetry_Int_Tables_number 1
_cell_length_a 16.930
_cell_length_b 16.930
_cell_length_c 6.454
_cell_angle_alpha 90.00
_cell_angle_beta 90.00
_cell_angle_gamma 120.00
loop_
_symmetry_equiv_pos_as_xyz
'x,y,z'
loop_
_atom_site_label
_atom_site_fract_x
_atom_site_fract_y
_atom_site_fract_z
Cu1 0.082 0.163 0.000
Cu2 0.082 0.918 0.000
Cu3 0.093 0.546 0.504
Cu4 0.163 0.082 0.500
Cu5 0.333 0.667 0.966
Cu6 0.454 0.546 0.504
Cu7 0.454 0.907 0.504
Cu8 0.546 0.093 0.004
Cu9 0.546 0.454 0.004
Cu10 0.667 0.333 0.466
Cu11 0.837 0.918 0.000
Cu12 0.907 0.454 0.004
Cu13 0.918 0.082 0.500
Cu14 0.918 0.837 0.500
P1 0.151 0.302 0.115
P2 0.151 0.849 0.115
P3 0.169 0.476 0.377
P4 0.169 0.693 0.377
P5 0.261 0.522 0.096
P6 0.261 0.739 0.096
P7 0.302 0.151 0.615
P8 0.307 0.476 0.377
P9 0.307 0.831 0.377
P10 0.476 0.169 0.877
P11 0.476 0.307 0.877
P12 0.478 0.739 0.096
P13 0.522 0.261 0.596
P14 0.524 0.693 0.377
P15 0.524 0.831 0.377
P16 0.693 0.169 0.877
P17 0.693 0.524 0.877
P18 0.698 0.849 0.115
P19 0.739 0.261 0.596
P20 0.739 0.478 0.596
P21 0.831 0.307 0.877
P22 0.831 0.524 0.877
P23 0.849 0.151 0.615
P24 0.849 0.698 0.615
S1 0.073 0.341 0.302
S2 0.073 0.732 0.302
S3 0.205 0.410 0.896
S4 0.205 0.795 0.896
S5 0.268 0.341 0.302
S6 0.268 0.927 0.302
S7 0.341 0.073 0.802
S8 0.341 0.268 0.802
S9 0.410 0.205 0.396
S10 0.590 0.795 0.896
S11 0.659 0.732 0.302
S12 0.659 0.927 0.302
S13 0.732 0.073 0.802
S14 0.732 0.659 0.802
S15 0.795 0.205 0.396
S16 0.795 0.590 0.396
S17 0.927 0.268 0.802
S18 0.927 0.659 0.802
Br1 0.065 0.533 0.876
Br2 0.078 0.157 0.619
Br3 0.078 0.922 0.619
Br4 0.157 0.078 0.119
Br5 0.333 0.667 0.592
Br6 0.467 0.533 0.876
Br7 0.467 0.935 0.876
Br8 0.533 0.065 0.376
Br9 0.533 0.467 0.376
Br10 0.667 0.333 0.092
Br11 0.843 0.922 0.619
Br12 0.922 0.078 0.119
Br13 0.922 0.843 0.119
Br14 0.935 0.467 0.376
# Space-group type: P6_3mc, No. 186
# Raw total energy: -297.671 eV per cell

---

# 3
# CoCuAsIr (GGA-PBE, optimized geometry)
data_CoCuAsIr
_chemical_formula_sum 'Co4 Cu4 As4 Ir4'
_symmetry_space_group_name_H-M 'P 1'
_symmetry_Int_Tables_number 1
_cell_length_a 5.922
_cell_length_b 5.922
_cell_length_c 5.922
_cell_angle_alpha 90.00
_cell_angle_beta 90.00
_cell_angle_gamma 90.00
loop_
_symmetry_equiv_pos_as_xyz
'x,y,z'
loop_
_atom_site_label
_atom_site_fract_x
_atom_site_fract_y
_atom_site_fract_z
Co1 0.000 0.000 0.000
Co2 0.000 0.500 0.500
Co3 0.500 0.000 0.500
Co4 0.500 0.500 0.000
Cu1 0.250 0.250 0.250
Cu2 0.250 0.750 0.750
Cu3 0.750 0.250 0.750
Cu4 0.750 0.750 0.250
As1 0.250 0.250 0.750
As2 0.250 0.750 0.250
As3 0.750 0.250 0.250
As4 0.750 0.750 0.750
Ir1 0.000 0.000 0.500
Ir2 0.000 0.500 0.000
Ir3 0.500 0.000 0.000
Ir4 0.500 0.500 0.500
# Space-group type: F-43m, No. 216
# Total moment: 2.656 μB/cell
# Energy above the lowest structure with this stoichiometry: 0 meV/atom
# Raw total energy: -95.930 eV per cell

---

# 4
# Ac3Tc5N12 (GGA-PBE, optimized geometry)
data_Ac3Tc5N12
_chemical_formula_sum 'Ac12 Tc20 N48'
_symmetry_space_group_name_H-M 'P 1'
_symmetry_Int_Tables_number 1
_cell_length_a 11.359
_cell_length_b 11.359
_cell_length_c 11.359
_cell_angle_alpha 109.47
_cell_angle_beta 109.47
_cell_angle_gamma 109.47
loop_
_symmetry_equiv_pos_as_xyz
'x,y,z'
loop_
_atom_site_label
_atom_site_fract_x
_atom_site_fract_y
_atom_site_fract_z
Ac1 0.125 0.250 0.375
Ac2 0.125 0.375 0.750
Ac3 0.250 0.375 0.125
Ac4 0.250 0.875 0.625
Ac5 0.375 0.125 0.250
Ac6 0.375 0.750 0.125
Ac7 0.625 0.250 0.875
Ac8 0.625 0.875 0.750
Ac9 0.750 0.125 0.375
Ac10 0.750 0.625 0.875
Ac11 0.875 0.625 0.250
Ac12 0.875 0.750 0.625
Tc1 0.000 0.000 0.000
Tc2 0.000 0.000 0.500
Tc3 0.000 0.500 0.000
Tc4 0.000 0.500 0.500
Tc5 0.125 0.750 0.875
Tc6 0.125 0.875 0.250
Tc7 0.250 0.125 0.875
Tc8 0.250 0.625 0.375
Tc9 0.375 0.250 0.625
Tc10 0.375 0.625 0.750
Tc11 0.500 0.000 0.000
Tc12 0.500 0.000 0.500
Tc13 0.500 0.500 0.000
Tc14 0.500 0.500 0.500
Tc15 0.625 0.375 0.250
Tc16 0.625 0.750 0.375
Tc17 0.750 0.375 0.625
Tc18 0.750 0.875 0.125
Tc19 0.875 0.125 0.750
Tc20 0.875 0.250 0.125
N1 0.003 0.188 0.110
N2 0.003 0.315 0.893
N3 0.078 0.688 0.685
N4 0.078 0.890 0.393
N5 0.107 0.610 0.422
N6 0.107 0.997 0.685
N7 0.110 0.003 0.188
N8 0.110 0.607 0.922
N9 0.185 0.188 0.578
N10 0.185 0.497 0.607
N11 0.188 0.110 0.003
N12 0.188 0.578 0.185
N13 0.312 0.315 0.922
N14 0.312 0.497 0.390
N15 0.315 0.893 0.003
N16 0.315 0.922 0.312
N17 0.390 0.312 0.497
N18 0.390 0.578 0.893
N19 0.393 0.078 0.890
N20 0.393 0.815 0.503
N21 0.422 0.107 0.610
N22 0.422 0.815 0.812
N23 0.497 0.390 0.312
N24 0.497 0.607 0.185
N25 0.503 0.393 0.815
N26 0.503 0.610 0.688
N27 0.578 0.185 0.188
N28 0.578 0.893 0.390
N29 0.607 0.185 0.497
N30 0.607 0.922 0.110
N31 0.610 0.422 0.107
N32 0.610 0.688 0.503
N33 0.685 0.078 0.688
N34 0.685 0.107 0.997
N35 0.688 0.503 0.610
N36 0.688 0.685 0.078
N37 0.812 0.422 0.815
N38 0.812 0.890 0.997
N39 0.815 0.503 0.393
N40 0.815 0.812 0.422
N41 0.890 0.393 0.078
N42 0.890 0.997 0.812
N43 0.893 0.003 0.315
N44 0.893 0.390 0.578
N45 0.922 0.110 0.607
N46 0.922 0.312 0.315
N47 0.997 0.685 0.107
N48 0.997 0.812 0.890
# Space-group type: Ia-3d, No. 230
# Total moment: 0.866 μB/cell
# Raw total energy: -690.465 eV per cell

---

# 5
# PmZnB (GGA-PBE, optimized geometry)
data_PmZnB
_chemical_formula_sum 'Pm4 Zn4 B4'
_symmetry_space_group_name_H-M 'P 1'
_symmetry_Int_Tables_number 1
_cell_length_a 6.383
_cell_length_b 6.383
_cell_length_c 6.383
_cell_angle_alpha 90.00
_cell_angle_beta 90.00
_cell_angle_gamma 90.00
loop_
_symmetry_equiv_pos_as_xyz
'x,y,z'
loop_
_atom_site_label
_atom_site_fract_x
_atom_site_fract_y
_atom_site_fract_z
Pm1 0.000 0.000 0.000
Pm2 0.000 0.500 0.500
Pm3 0.500 0.000 0.500
Pm4 0.500 0.500 0.000
Zn1 0.250 0.250 0.250
Zn2 0.250 0.750 0.750
Zn3 0.750 0.250 0.750
Zn4 0.750 0.750 0.250
B1 0.250 0.250 0.750
B2 0.250 0.750 0.250
B3 0.750 0.250 0.250
B4 0.750 0.750 0.750
# Space-group type: F-43m, No. 216
# Total moment: 0.008 μB/cell
# Energy above the lowest structure with this stoichiometry: 846 meV/atom
# Raw total energy: -41.526 eV per cell

---

# 6
# LiAgMoPd (GGA-PBE, optimized geometry)
data_LiAgMoPd
_chemical_formula_sum 'Li4 Ag4 Mo4 Pd4'
_symmetry_space_group_name_H-M 'P 1'
_symmetry_Int_Tables_number 1
_cell_length_a 6.225
_cell_length_b 6.225
_cell_length_c 6.225
_cell_angle_alpha 90.00
_cell_angle_beta 90.00
_cell_angle_gamma 90.00
loop_
_symmetry_equiv_pos_as_xyz
'x,y,z'
loop_
_atom_site_label
_atom_site_fract_x
_atom_site_fract_y
_atom_site_fract_z
Li1 0.000 0.000 0.000
Li2 0.000 0.500 0.500
Li3 0.500 0.000 0.500
Li4 0.500 0.500 0.000
Ag1 0.250 0.250 0.250
Ag2 0.250 0.750 0.750
Ag3 0.750 0.250 0.750
Ag4 0.750 0.750 0.250
Mo1 0.250 0.250 0.750
Mo2 0.250 0.750 0.250
Mo3 0.750 0.250 0.250
Mo4 0.750 0.750 0.750
Pd1 0.000 0.000 0.500
Pd2 0.000 0.500 0.000
Pd3 0.500 0.000 0.000
Pd4 0.500 0.500 0.500
# Space-group type: F-43m, No. 216
# Total moment: 0.011 μB/cell
# Energy above the lowest structure with this stoichiometry: 1 meV/atom
# Raw total energy: -78.692 eV per cell

---

# 7
# SmTmIn2Pt4 (GGA-PBE, optimized geometry)
data_SmTmIn2Pt4
_chemical_formula_sum 'Sm1 Tm1 In2 Pt4'
_symmetry_space_group_name_H-M 'P 1'
_symmetry_Int_Tables_number 1
_cell_length_a 4.591
_cell_length_b 4.591
_cell_length_c 9.058
_cell_angle_alpha 90.00
_cell_angle_beta 90.00
_cell_angle_gamma 120.00
loop_
_symmetry_equiv_pos_as_xyz
'x,y,z'
loop_
_atom_site_label
_atom_site_fract_x
_atom_site_fract_y
_atom_site_fract_z
Sm1 0.000 0.000 0.000
Tm1 0.333 0.667 0.500
In1 0.667 0.333 0.254
In2 0.667 0.333 0.746
Pt1 0.000 0.000 0.345
Pt2 0.000 0.000 0.655
Pt3 0.333 0.667 0.164
Pt4 0.333 0.667 0.836
# Space-group type: P-6m2, No. 187
# Total moment: 0.004 μB/cell
# Raw total energy: -46.520 eV per cell

---

# 8
# ZrPAuO (GGA-PBE, optimized geometry)
data_ZrPAuO
_chemical_formula_sum 'Zr2 P2 Au2 O2'
_symmetry_space_group_name_H-M 'P 1'
_symmetry_Int_Tables_number 1
_cell_length_a 3.736
_cell_length_b 3.736
_cell_length_c 8.749
_cell_angle_alpha 90.00
_cell_angle_beta 90.00
_cell_angle_gamma 90.00
loop_
_symmetry_equiv_pos_as_xyz
'x,y,z'
loop_
_atom_site_label
_atom_site_fract_x
_atom_site_fract_y
_atom_site_fract_z
Zr1 0.250 0.250 0.141
Zr2 0.750 0.750 0.859
P1 0.250 0.250 0.726
P2 0.750 0.750 0.274
Au1 0.250 0.750 0.500
Au2 0.750 0.250 0.500
O1 0.250 0.750 0.000
O2 0.750 0.250 0.000
# Space-group type: P4/nmm, No. 129
# Total moment: 0.004 μB/cell
# Energy above the lowest structure with this stoichiometry: 0 meV/atom
# Raw total energy: -54.823 eV per cell